The following is a DFT calculation (PBE-GGA) of Ac8Sm6Tm after structural relaxation.

Properties
Space group: R-3, No. 148
VASP energy in eV/f.u.: -62.04

Lattice parameters (Å, degrees): 9.227 9.227 9.227 66.45 66.45 66.45
Atoms (fractional coordinates):
1 Sm 0.684 0.058 0.369
2 Sm 0.316 0.942 0.631
3 Sm 0.942 0.631 0.316
4 Sm 0.631 0.316 0.942
5 Sm 0.369 0.684 0.058
6 Sm 0.058 0.369 0.684
7 Ac 0.728 0.728 0.728
8 Ac 0.410 0.138 0.823
9 Ac 0.823 0.410 0.138
10 Ac 0.590 0.862 0.177
11 Ac 0.272 0.272 0.272
12 Ac 0.138 0.823 0.410
13 Ac 0.177 0.590 0.862
14 Ac 0.862 0.177 0.590
15 Tm 0.000 0.000 0.000


The following is a DFT calculation (PBE-GGA) of LiLaBe after structural relaxation.

Properties
Space group: F-43m, No. 216
Energy relative to the lowest polymorph listed for this composition in meV per atom: 372.1

Lattice parameters (Å, degrees): 4.644 4.644 4.644 60.00 60.00 60.00
Atoms (fractional coordinates):
1 Li 0.750 0.750 0.750
2 Be 0.000 0.000 0.000
3 La 0.500 0.500 0.500


The following is a DFT calculation (PBE-GGA) of ErScC2 after structural relaxation.

Properties
Space group: R-3m, No. 166
VASP energy in eV/f.u.: -29.57

Lattice parameters (Å, degrees): 3.445 3.445 5.919 73.08 73.08 60.00
Atoms (fractional coordinates):
1 C 0.745 0.745 0.765
2 C 0.255 0.255 0.235
3 Er 0.500 0.500 0.500
4 Sc 0.000 0.000 0.000


The following is a DFT calculation (PBE-GGA) of ScCd2Br after structural relaxation.

Properties
Space group: Cmmm, No. 65
Energy relative to the lowest polymorph listed for this composition in meV per atom: 218.5
Formation energy from raw total energies in eV/atom: -0.23

Lattice parameters (Å, degrees): 3.526 3.526 7.961 90.00 90.00 88.81
Atoms (fractional coordinates):
1 Cd 0.000 0.000 0.484
2 Cd 0.000 0.000 0.016
3 Br 0.500 0.500 0.750
4 Sc 0.500 0.500 0.250


The following is a DFT calculation (PBE-GGA) of K4Er3HfS8 after structural relaxation.

Properties
Space group: R-3m, No. 166
Formation energy from raw total energies in eV/atom: -1.76

Lattice parameters (Å, degrees): 7.880 8.662 7.880 117.08 120.00 90.00
Atoms (fractional coordinates):
1 S 0.774 0.302 0.548
2 S 0.734 0.703 0.469
3 S 0.774 0.302 0.027
4 S 0.747 0.698 0.973
5 S 0.266 0.297 0.531
6 S 0.253 0.302 0.027
7 S 0.226 0.698 0.973
8 S 0.226 0.698 0.452
9 Er 0.000 0.500 0.500
10 Er 0.500 0.500 0.000
11 Er 0.500 0.500 0.500
12 K 0.000 0.000 0.500
13 K 0.500 0.000 0.500
14 K 0.000 0.000 0.000
15 K 0.500 0.000 0.000
16 Hf 0.000 0.500 0.000


The following is a DFT calculation (PBE-GGA) of SnPdPt2 after structural relaxation.

Properties
Space group: I-42d, No. 122
VASP energy in eV/f.u.: -21.99

Lattice parameters (Å, degrees): 3.895 3.895 9.968 78.73 78.73 90.00
Atoms (fractional coordinates):
1 Pt 0.375 0.381 0.750
2 Pt 0.875 0.869 0.750
3 Pt 0.619 0.125 0.250
4 Pt 0.131 0.625 0.250
5 Sn 0.750 0.250 0.500
6 Sn 0.000 0.000 0.000
7 Pd 0.250 0.750 0.500
8 Pd 0.500 0.500 0.000


The following is a DFT calculation (PBE-GGA) of PrNd7Cd3 after structural relaxation.

Properties
Space group: Immm, No. 71
VASP energy in eV/f.u.: -40.63

Lattice parameters (Å, degrees): 5.950 8.380 8.380 90.50 110.81 110.81
Atoms (fractional coordinates):
1 Cd 0.000 0.231 0.769
2 Cd 0.000 0.769 0.231
3 Cd 0.500 0.000 0.000
4 Nd 0.679 0.966 0.393
5 Nd 0.321 0.034 0.607
6 Nd 0.825 0.825 0.825
7 Nd 0.000 0.500 0.500
8 Nd 0.679 0.393 0.966
9 Nd 0.175 0.175 0.175
10 Nd 0.321 0.607 0.034
11 Pr 0.500 0.500 0.500


The following is a DFT calculation (PBE-GGA) of LaAs3I after structural relaxation.

Properties
Space group: Pm-3m, No. 221
Energy relative to the lowest polymorph listed for this composition in meV per atom: 0.0
Formation energy from raw total energies in eV/atom: 0.37

Lattice parameters (Å, degrees): 5.310 5.310 5.310 90.00 90.00 90.00
Atoms (fractional coordinates):
1 As 0.000 0.000 0.500
2 As 0.000 0.500 0.000
3 As 0.500 0.000 0.000
4 I 0.000 0.000 0.000
5 La 0.500 0.500 0.500


The following is a DFT calculation (PBE-GGA) of Th2PaOs after structural relaxation.

Properties
Space group: R-3m, No. 166
VASP energy in eV/f.u.: -33.57

Lattice parameters (Å, degrees): 3.686 3.686 10.380 79.77 79.77 60.00
Atoms (fractional coordinates):
1 Th 0.107 0.107 0.679
2 Th 0.893 0.893 0.321
3 Pa 0.000 0.000 0.000
4 Os 0.500 0.500 0.500


The following is a DFT calculation (PBE-GGA) of Hg7BiPb4 after structural relaxation.

Properties
Space group: C2/m, No. 12
VASP energy in eV/f.u.: -20.02

Lattice parameters (Å, degrees): 6.164 7.368 9.188 73.87 70.40 65.27
Atoms (fractional coordinates):
1 Hg 0.251 0.803 0.695
2 Hg 0.990 0.326 0.695
3 Hg 0.749 0.197 0.305
4 Hg 0.738 0.529 0.996
5 Hg 0.010 0.674 0.305
6 Hg 0.500 0.000 0.000
7 Hg 0.262 0.471 0.004
8 Bi 0.000 0.000 0.000
9 Pb 0.222 0.188 0.368
10 Pb 0.778 0.812 0.632
11 Pb 0.479 0.693 0.349
12 Pb 0.521 0.307 0.651


The following is a DFT calculation (PBE-GGA) of Zr3Nb5H12 after structural relaxation.

Properties
Space group: Ia-3d, No. 230
VASP energy in eV/f.u.: -122.92

Lattice parameters (Å, degrees): 9.996 9.996 9.996 109.47 109.47 109.47
Atoms (fractional coordinates):
1 Zr 0.625 0.250 0.375
2 Zr 0.125 0.875 0.750
3 Zr 0.750 0.875 0.625
4 Zr 0.875 0.750 0.125
5 Zr 0.625 0.375 0.750
6 Zr 0.250 0.125 0.375
7 Zr 0.250 0.625 0.875
8 Zr 0.375 0.750 0.625
9 Zr 0.750 0.375 0.125
10 Zr 0.375 0.625 0.250
11 Zr 0.875 0.125 0.250
12 Zr 0.125 0.250 0.875
13 H 0.581 0.940 0.661
14 H 0.919 0.839 0.560
15 H 0.641 0.581 0.920
16 H 0.580 0.721 0.661
17 H 0.060 0.419 0.839
18 H 0.779 0.440 0.359
19 H 0.641 0.060 0.221
20 H 0.580 0.859 0.419
21 H 0.221 0.661 0.080
22 H 0.419 0.359 0.580
23 H 0.080 0.919 0.359
24 H 0.581 0.641 0.420
25 H 0.920 0.839 0.779
26 H 0.141 0.420 0.081
27 H 0.081 0.920 0.141
28 H 0.081 0.161 0.440
29 H 0.940 0.359 0.279
30 H 0.859 0.279 0.440
31 H 0.359 0.940 0.779
32 H 0.080 0.161 0.221
33 H 0.161 0.080 0.721
34 H 0.060 0.641 0.721
35 H 0.721 0.141 0.060
36 H 0.661 0.221 0.580
37 H 0.420 0.141 0.581
38 H 0.141 0.721 0.560
39 H 0.859 0.580 0.919
40 H 0.440 0.661 0.081
41 H 0.779 0.339 0.920
42 H 0.839 0.920 0.279
43 H 0.420 0.279 0.339
44 H 0.339 0.779 0.420
45 H 0.221 0.560 0.641
46 H 0.279 0.420 0.839
47 H 0.161 0.081 0.940
48 H 0.721 0.580 0.161
49 H 0.920 0.081 0.641
50 H 0.279 0.859 0.940
51 H 0.919 0.080 0.859
52 H 0.661 0.440 0.581
53 H 0.339 0.560 0.419
54 H 0.839 0.919 0.060
55 H 0.440 0.779 0.859
56 H 0.359 0.419 0.080
57 H 0.560 0.221 0.141
58 H 0.940 0.581 0.161
59 H 0.419 0.060 0.339
60 H 0.560 0.339 0.919
61 Nb 0.500 0.500 0.500
62 Nb 0.750 0.125 0.875
63 Nb 0.750 0.625 0.375
64 Nb 0.375 0.125 0.750
65 Nb 0.625 0.875 0.250
66 Nb 0.500 0.000 0.500
67 Nb 0.875 0.625 0.750
68 Nb 0.250 0.375 0.625
69 Nb 0.125 0.375 0.250
70 Nb 0.500 0.000 0.000
71 Nb 0.625 0.750 0.875
72 Nb 0.000 0.000 0.500
73 Nb 0.000 0.500 0.000
74 Nb 0.875 0.250 0.625
75 Nb 0.500 0.500 0.000
76 Nb 0.125 0.750 0.375
77 Nb 0.375 0.250 0.125
78 Nb 0.250 0.875 0.125
79 Nb 0.000 0.500 0.500
80 Nb 0.000 0.000 0.000


The following is a DFT calculation (PBE-GGA) of Pr12Y7Tm after structural relaxation.

Properties
Space group: Im-3m, No. 229
Energy relative to the lowest polymorph listed for this composition in meV per atom: 481.5

Lattice parameters (Å, degrees): 10.108 10.108 10.108 109.47 109.47 109.47
Atoms (fractional coordinates):
1 Pr 0.494 0.247 0.247
2 Pr 0.753 0.247 0.000
3 Pr 0.000 0.247 0.753
4 Pr 0.753 0.000 0.247
5 Pr 0.753 0.506 0.753
6 Pr 0.247 0.247 0.494
7 Pr 0.506 0.753 0.753
8 Pr 0.247 0.753 0.000
9 Pr 0.247 0.494 0.247
10 Pr 0.753 0.753 0.506
11 Pr 0.247 0.000 0.753
12 Pr 0.000 0.753 0.247
13 Y 0.000 0.500 0.500
14 Y 0.500 0.000 0.000
15 Y 0.000 0.000 0.500
16 Y 0.500 0.500 0.500
17 Y 0.500 0.000 0.500
18 Y 0.000 0.500 0.000
19 Y 0.500 0.500 0.000
20 Tm 0.000 0.000 0.000